Arrangement one

Material: AlBiAs2
Method: DFT, PBE
State: relaxed

Its total magnetic moment is 0.00 μB per formula unit. The density of states at the Fermi level is 0.09 states/eV/atom.

It has space group I-42d (No. 122), with a = 6.3038 Å, b = 6.3038 Å, c = 11.9159 Å, α = 90.00°, β = 90.00° and γ = 90.00°. The inequivalent atoms are Al at (0.0000, 0.0000, 0.0000), Bi at (0.0000, 0.0000, 0.5000) and As at (0.1926, 0.2500, 0.1250).

Arrangement two

Material: AlBiAs2
Method: DFT, PBE
State: relaxed

Its total magnetic moment is 0.00 μB per formula unit. The density of states at the Fermi level is 0.51 states/eV/atom.

It has space group Fm-3m (No. 225), with a = 7.0636 Å, b = 7.0636 Å, c = 7.0636 Å, α = 90.00°, β = 90.00° and γ = 90.00°. The inequivalent atoms are Al at (0.0000, 0.0000, 0.0000), Bi at (0.0000, 0.0000, 0.5000) and As at (0.2500, 0.2500, 0.2500).

Least stable: arrangement two

Arrangement one

Material: AlBiAs2Br
Method: DFT, PBE
State: relaxed

Its total magnetic moment is 1.03 μB per formula unit. The density of states at the Fermi level is 0.79 states/eV/atom.

It has space group P4/mmm (No. 123), with a = 5.4922 Å, b = 5.4922 Å, c = 5.8924 Å, α = 90.00°, β = 90.00° and γ = 90.00°. The inequivalent atoms are Al at (0.0000, 0.0000, 0.0000), Bi at (0.5000, 0.5000, 0.5000), As at (0.0000, 0.5000, 0.5000) and Br at (0.5000, 0.5000, 0.0000).

Arrangement two

Material: AlBiAs2Br
Method: DFT, PBE
State: relaxed

Its total magnetic moment is 0.00 μB per formula unit. The density of states at the Fermi level is 0.69 states/eV/atom.

It has space group P4/mmm (No. 123), with a = 5.0299 Å, b = 5.0299 Å, c = 4.8866 Å, α = 90.00°, β = 90.00° and γ = 90.00°. The inequivalent atoms are Al at (0.0000, 0.0000, 0.0000), Bi at (0.5000, 0.5000, 0.5000), As at (0.0000, 0.5000, 0.0000) and Br at (0.0000, 0.0000, 0.5000).

Least stable: arrangement one